Crystalline Y2Ti2Ge at its relaxed geometry. Source: Alexandria via LeMat-Bulk, functional PBE.

a = 6.999 Å, b = 6.999 Å, c = 4.592 Å
α = 90.00°, β = 90.00°, γ = 90.00°
Sites, in units of the cell vectors:
Y (0.165, 0.335, 0.000)
Y (0.335, 0.835, 0.000)
Y (0.665, 0.165, 0.000)
Y (0.835, 0.665, 0.000)
Ti (0.138, 0.638, 0.500)
Ti (0.362, 0.138, 0.500)
Ti (0.638, 0.862, 0.500)
Ti (0.862, 0.362, 0.500)
Ge (0.000, 0.000, 0.500)
Ge (0.500, 0.500, 0.500)

- calculated total energy (eV/atom) = -6.80
- volume (A^3/atom) = 22.5
- symmetry = P4/mbm

---

Crystalline LiZrCr at its relaxed geometry. Source: Alexandria via LeMat-Bulk, functional PBE.

a = 6.330 Å, b = 6.330 Å, c = 6.330 Å
α = 90.00°, β = 90.00°, γ = 90.00°
Sites, in units of the cell vectors:
Li (0.000, 0.000, 0.000)
Li (0.000, 0.500, 0.500)
Li (0.500, 0.000, 0.500)
Li (0.500, 0.500, 0.000)
Zr (0.250, 0.250, 0.250)
Zr (0.250, 0.750, 0.750)
Zr (0.750, 0.250, 0.750)
Zr (0.750, 0.750, 0.250)
Cr (0.000, 0.000, 0.500)
Cr (0.000, 0.500, 0.000)
Cr (0.500, 0.000, 0.000)
Cr (0.500, 0.500, 0.500)

- calculated total energy (eV/atom) = -5.55
- volume (A^3/atom) = 21.1
- symmetry = F-43m

---

Number 1: energy of formation from the pure elements -0.13 eV per atom. Number 2: energy of formation from the pure elements 1.15 eV per atom.